*P*
{
  "formula": "Hf2ZrV",
  "functional": "PBE-GGA",
  "state": "relaxed",
  "space_group": "No. 123",
  "rho_g_cm3": 10.07,
  "cell": [[4.8002, 0.0000, 0.0000], [0.0000, 4.8002, 0.0000], [0.0000, 0.0000, 3.5731]],
  "species": ["Hf", "Hf", "Zr", "V"],
  "frac_coords": [[0.0000, 0.5000, 0.0000], [0.5000, 0.0000, 0.0000], [0.0000, 0.0000, 0.5000], [0.5000, 0.5000, 0.5000]]
}

*Q*
{
  "formula": "Hf2ZrV",
  "functional": "PBE-GGA",
  "state": "relaxed",
  "space_group": "No. 123",
  "rho_g_cm3": 10.10,
  "cell": [[3.3121, 0.0000, 0.0000], [0.0000, 3.3121, 0.0000], [0.0000, 0.0000, 7.4826]],
  "species": ["Hf", "Hf", "Zr", "V"],
  "frac_coords": [[0.0000, 0.0000, 0.2177], [0.0000, 0.0000, 0.7823], [0.5000, 0.5000, 0.5000], [0.5000, 0.5000, 0.0000]]
}

*R*
{
  "formula": "Hf2ZrV",
  "functional": "PBE-GGA",
  "state": "relaxed",
  "space_group": "No. 160",
  "rho_g_cm3": 9.97,
  "cell": [[3.1613, 0.0000, 0.0000], [-1.5807, 2.7378, 0.0000], [0.0000, 0.0000, 28.8276]],
  "species": ["Hf", "Hf", "Hf", "Hf", "Hf", "Hf", "Zr", "Zr", "Zr", "V", "V", "V"],
  "frac_coords": [[0.0000, 0.0000, 0.0000], [0.0000, 0.0000, 0.1830], [0.3333, 0.6667, 0.6667], [0.3333, 0.6667, 0.8496], [0.6667, 0.3333, 0.3333], [0.6667, 0.3333, 0.5163], [0.0000, 0.0000, 0.7585], [0.3333, 0.6667, 0.4252], [0.6667, 0.3333, 0.0919], [0.0000, 0.0000, 0.5916], [0.3333, 0.6667, 0.2583], [0.6667, 0.3333, 0.9249]]
}

*S*
{
  "formula": "Hf2ZrV",
  "functional": "PBE-GGA",
  "state": "relaxed",
  "space_group": "No. 166",
  "rho_g_cm3": 9.85,
  "cell": [[3.0619, 0.0000, 0.0000], [-1.5310, 2.6517, 0.0000], [0.0000, 0.0000, 31.0928]],
  "species": ["Hf", "Hf", "Hf", "Hf", "Hf", "Hf", "Zr", "Zr", "Zr", "V", "V", "V"],
  "frac_coords": [[0.0000, 0.0000, 0.0834], [0.0000, 0.0000, 0.9166], [0.3333, 0.6667, 0.5832], [0.3333, 0.6667, 0.7501], [0.6667, 0.3333, 0.2499], [0.6667, 0.3333, 0.4168], [0.0000, 0.0000, 0.5000], [0.3333, 0.6667, 0.1667], [0.6667, 0.3333, 0.8333], [0.0000, 0.0000, 0.0000], [0.3333, 0.6667, 0.6667], [0.6667, 0.3333, 0.3333]]
}

Least stable of them? *S*.